DFT (PBE) results for an optimized crystal structure of RbNa2TbF6.

## Properties
Spin magnetization, μB/cell: 0.20
VASP energy, eV per atom: -5.242
Formation energy from raw total energies, meV/atom: -3296
SG: R3 (146)

Geometry as POSCAR:
```
RbNa2TbF6
1.0
-2.444 4.846 -2.767
-5.928 1.230 0.682
-1.661 5.069 3.637
F Rb Tb Na
6 1 1 2
Direct
0.934 0.588 0.222 F
0.256 0.934 0.222 F
0.588 0.256 0.222 F
0.338 0.706 0.768 F
0.188 0.338 0.768 F
0.707 0.188 0.768 F
0.796 0.796 0.612 Rb
0.318 0.318 0.047 Tb
0.014 0.014 0.959 Na
0.524 0.524 0.427 Na
```